(1)
Below is AcNd2Zn after structural relaxation, with properties calculated at the PBE level.

## Properties
- formation energy from the elements (meV/atom) = 11
- spin magnetization (Bohr magnetons per cell) = 0.0
- relative energy among the computed polymorphs (eV/atom) = 0.148

Unit cell a=5.1359 b=4.9598 c=4.9598 alpha=90.00 beta=90.00 gamma=90.00
Atoms (fractional coordinates):
Ac: 0.5000 0.5000 0.5000
Nd: 0.0000 0.0000 0.5000
Nd: 0.0000 0.5000 0.0000
Zn: 0.5000 0.0000 0.0000

=====

(2)
Below is AcNd2Zn after structural relaxation, with properties calculated at the PBE level.

## Properties
- formation energy from the elements (meV/atom) = 124
- spin magnetization (Bohr magnetons per cell) = 0.0
- relative energy among the computed polymorphs (eV/atom) = 0.261

Unit cell a=5.1782 b=5.1782 c=6.5140 alpha=66.58 beta=66.58 gamma=60.00
Atoms (fractional coordinates):
Nd: 0.7222 0.7222 0.8334
Nd: 0.2778 0.2778 0.1666
Ac: 0.5000 0.5000 0.5000
Zn: 0.0000 0.0000 0.0000

=====

(3)
Below is Ac2NdZn3 after structural relaxation, with properties calculated at the PBE level.

## Properties
- formation energy from the elements (meV/atom) = -256
- spin magnetization (Bohr magnetons per cell) = 0.0

Unit cell a=3.8371 b=3.8371 c=11.5027 alpha=90.00 beta=90.00 gamma=90.00
Atoms (fractional coordinates):
Ac: 0.5000 0.5000 0.8260
Zn: 0.0000 0.0000 0.0000
Zn: 0.0000 0.0000 0.3532
Ac: 0.5000 0.5000 0.1740
Zn: 0.0000 0.0000 0.6468
Nd: 0.5000 0.5000 0.5000